First-principles (PBE with a Hubbard U) data for a relaxed LaFeNO2 crystal, as listed in Alexandria.

**Energy**: -5.951 eV/atom

```
LaFeNO2
1.0
4.442 0.000 0.000
0.000 4.442 0.000
0.000 0.000 4.439
O N Fe La
2 1 1 1
Cartesian
0.000 2.221 0.000
2.221 0.000 0.000
0.000 0.000 2.219
2.221 2.221 2.219
0.000 0.000 0.000
```